Record 1
First-principles (GGA-PBE) data for HgSe2N after structural relaxation, as listed in Alexandria via LeMat-Bulk.

Values from the calculation:
uncorrected formation energy = 0.7562 eV per atom

The structure in CIF format:
```
data_HgSe2N
_cell_length_a 5.509
_cell_length_b 5.509
_cell_length_c 11.796
_cell_angle_alpha 90.00
_cell_angle_beta 90.00
_cell_angle_gamma 90.00
_space_group_name_H-M_alt 'I -4 2 d'
_space_group_IT_number 122
_space_group_name_Hall 'I -4 2bw'
loop_
_atom_site_label
_atom_site_fract_x
_atom_site_fract_y
_atom_site_fract_z
Hg1 0.000 0.000 0.000
Se1 0.142 0.250 0.625
N1 0.000 0.000 0.500
```

Record 2
First-principles (GGA-PBE) data for AlB3P after structural relaxation, as listed in Alexandria via LeMat-Bulk.

Values from the calculation:
energy of formation from the pure elements = 2028 meV/atom

The structure in CIF format:
```
data_AlB3P
_cell_length_a 4.146
_cell_length_b 4.146
_cell_length_c 4.146
_cell_angle_alpha 90.00
_cell_angle_beta 90.00
_cell_angle_gamma 90.00
_space_group_name_H-M_alt 'P m -3 m'
_space_group_IT_number 221
_space_group_name_Hall '-P 4 2 3'
loop_
_atom_site_label
_atom_site_fract_x
_atom_site_fract_y
_atom_site_fract_z
Al1 0.000 0.000 0.000
B1 0.000 0.000 0.500
P1 0.500 0.500 0.500
```

Record 3
First-principles (GGA-PBE) data for Ba2C after structural relaxation, as listed in Alexandria via LeMat-Bulk.

Values from the calculation:
energy of formation from the pure elements = 823 meV/atom

The structure in CIF format:
```
data_Ba2C
_cell_length_a 4.349
_cell_length_b 4.349
_cell_length_c 5.775
_cell_angle_alpha 90.00
_cell_angle_beta 90.00
_cell_angle_gamma 90.00
_space_group_name_H-M_alt 'P 4/m m m'
_space_group_IT_number 123
_space_group_name_Hall '-P 4 2'
loop_
_atom_site_label
_atom_site_fract_x
_atom_site_fract_y
_atom_site_fract_z
Ba1 0.000 0.000 0.000
Ba2 0.500 0.500 0.500
C1 0.000 0.000 0.500
```

Record 4
First-principles (GGA-PBE) data for NaAc3Pd after structural relaxation, as listed in Alexandria via LeMat-Bulk.

Values from the calculation:
energy of formation from the pure elements = -148 meV/atom

The structure in CIF format:
```
data_NaAc3Pd
_cell_length_a 6.025
_cell_length_b 6.025
_cell_length_c 6.025
_cell_angle_alpha 90.00
_cell_angle_beta 90.00
_cell_angle_gamma 90.00
_space_group_name_H-M_alt 'P m -3 m'
_space_group_IT_number 221
_space_group_name_Hall '-P 4 2 3'
loop_
_atom_site_label
_atom_site_fract_x
_atom_site_fract_y
_atom_site_fract_z
Na1 0.000 0.000 0.000
Ac1 0.000 0.500 0.500
Pd1 0.500 0.500 0.500
```

Record 5
First-principles (GGA-PBE) data for Pm4NdPd after structural relaxation, as listed in Alexandria via LeMat-Bulk.

Values from the calculation:
energy of formation from the pure elements = -146 meV/atom

The structure in CIF format:
```
data_Pm4NdPd
_cell_length_a 5.397
_cell_length_b 21.707
_cell_length_c 6.508
_cell_angle_alpha 90.00
_cell_angle_beta 90.00
_cell_angle_gamma 90.00
_space_group_name_H-M_alt 'C m c 21'
_space_group_IT_number 36
_space_group_name_Hall 'C 2c -2'
loop_
_atom_site_label
_atom_site_fract_x
_atom_site_fract_y
_atom_site_fract_z
Pm1 0.000 0.027 0.000
Pm2 0.000 0.165 0.225
Pm3 0.000 0.240 0.735
Pm4 0.000 0.431 0.871
Nd1 0.000 0.367 0.360
Pd1 0.000 0.106 0.631
```

Record 6
First-principles (GGA-PBE) data for Cs2PaTlI6 after structural relaxation, as listed in Alexandria via LeMat-Bulk.

Values from the calculation:
uncorrected formation energy = -1.0667 eV per atom

The structure in CIF format:
```
data_Cs2PaTlI6
_cell_length_a 8.8600
_cell_length_b 8.8600
_cell_length_c 49.2160
_cell_angle_alpha 90.00
_cell_angle_beta 90.00
_cell_angle_gamma 120.00
_space_group_name_H-M_alt 'R -3 m'
_space_group_IT_number 166
_space_group_name_Hall '-R 3 2"'
loop_
_atom_site_label
_atom_site_fract_x
_atom_site_fract_y
_atom_site_fract_z
Cs1 0.0000 0.0000 0.1366
Cs2 0.0000 0.0000 0.3066
Pa1 0.0000 0.0000 0.0000
Pa2 0.0000 0.0000 0.5000
Tl1 0.0000 0.0000 0.4216
I1 0.0023 0.5011 0.7032
I2 0.0130 0.5065 0.8680
```

Record 7
First-principles (GGA-PBE) data for Hg2OsSe after structural relaxation, as listed in Alexandria via LeMat-Bulk.

Values from the calculation:
uncorrected formation energy = 0.8797 eV per atom

The structure in CIF format:
```
data_Hg2OsSe
_cell_length_a 3.169
_cell_length_b 5.270
_cell_length_c 4.710
_cell_angle_alpha 90.00
_cell_angle_beta 90.35
_cell_angle_gamma 90.00
_space_group_name_H-M_alt 'P 1 2/m 1'
_space_group_IT_number 10
_space_group_name_Hall '-P 2y'
loop_
_atom_site_label
_atom_site_fract_x
_atom_site_fract_y
_atom_site_fract_z
Hg1 0.245 0.000 0.246
Os1 0.000 0.500 0.000
Se1 0.500 0.500 0.500
```

Record 8
First-principles (GGA-PBE) data for Sr2OsPtN after structural relaxation, as listed in Alexandria via LeMat-Bulk.

Values from the calculation:
uncorrected formation energy = -0.3944 eV per atom

The structure in CIF format:
```
data_Sr2OsPtN
_cell_length_a 5.337
_cell_length_b 5.337
_cell_length_c 3.795
_cell_angle_alpha 90.00
_cell_angle_beta 90.00
_cell_angle_gamma 90.00
_space_group_name_H-M_alt 'P 4/m m m'
_space_group_IT_number 123
_space_group_name_Hall '-P 4 2'
loop_
_atom_site_label
_atom_site_fract_x
_atom_site_fract_y
_atom_site_fract_z
Sr1 0.000 0.500 0.000
Os1 0.000 0.000 0.500
Pt1 0.500 0.500 0.500
N1 0.000 0.000 0.000
```

Record 9
First-principles (GGA-PBE) data for YCo2Ir2 after structural relaxation, as listed in Alexandria via LeMat-Bulk.

Values from the calculation:
energy of formation from the pure elements = -185 meV/atom

The structure in CIF format:
```
data_YCo2Ir2
_cell_length_a 4.000
_cell_length_b 4.000
_cell_length_c 10.169
_cell_angle_alpha 90.00
_cell_angle_beta 90.00
_cell_angle_gamma 90.00
_space_group_name_H-M_alt 'I 4/m m m'
_space_group_IT_number 139
_space_group_name_Hall '-I 4 2'
loop_
_atom_site_label
_atom_site_fract_x
_atom_site_fract_y
_atom_site_fract_z
Y1 0.000 0.000 0.000
Co1 0.000 0.000 0.394
Ir1 0.000 0.500 0.250
```

Record 10
First-principles (GGA-PBE) data for CaBeB5 after structural relaxation, as listed in Alexandria via LeMat-Bulk.

Values from the calculation:
energy of formation from the pure elements = 60 meV/atom

The structure in CIF format:
```
data_CaBeB5
_cell_length_a 3.401
_cell_length_b 5.285
_cell_length_c 8.821
_cell_angle_alpha 103.85
_cell_angle_beta 90.37
_cell_angle_gamma 103.15
_space_group_name_H-M_alt 'P -1'
_space_group_IT_number 2
_space_group_name_Hall '-P 1'
loop_
_atom_site_label
_atom_site_fract_x
_atom_site_fract_y
_atom_site_fract_z
Ca1 0.000 0.000 0.000
Ca2 0.500 0.000 0.500
Be1 0.075 0.363 0.729
B1 0.090 0.353 0.382
B2 0.178 0.596 0.094
B3 0.358 0.518 0.581
B4 0.369 0.460 0.240
B5 0.383 0.557 0.924
```

Record 11
First-principles (GGA-PBE) data for Tb2PmHo4 after structural relaxation, as listed in Alexandria via LeMat-Bulk.

Values from the calculation:
energy of formation from the pure elements = 36 meV/atom

The structure in CIF format:
```
data_Tb2PmHo4
_cell_length_a 16.650
_cell_length_b 3.524
_cell_length_c 8.734
_cell_angle_alpha 90.00
_cell_angle_beta 119.54
_cell_angle_gamma 90.00
_space_group_name_H-M_alt 'C 1 2/m 1'
_space_group_IT_number 12
_space_group_name_Hall '-C 2y'
loop_
_atom_site_label
_atom_site_fract_x
_atom_site_fract_y
_atom_site_fract_z
Tb1 0.070 0.000 0.430
Pm1 0.000 0.000 0.000
Ho1 0.143 0.500 0.837
Ho2 0.205 0.500 0.294
```

Record 12
First-principles (GGA-PBE) data for DyTmTlIr after structural relaxation, as listed in Alexandria via LeMat-Bulk.

Values from the calculation:
energy of formation from the pure elements = -627 meV/atom

The structure in CIF format:
```
data_DyTmTlIr
_cell_length_a 3.377
_cell_length_b 3.377
_cell_length_c 8.304
_cell_angle_alpha 90.00
_cell_angle_beta 90.00
_cell_angle_gamma 90.00
_space_group_name_H-M_alt 'P 4 m m'
_space_group_IT_number 99
_space_group_name_Hall 'P 4 -2'
loop_
_atom_site_label
_atom_site_fract_x
_atom_site_fract_y
_atom_site_fract_z
Dy1 0.000 0.000 0.000
Tm1 0.000 0.000 0.589
Tl1 0.500 0.500 0.297
Ir1 0.500 0.500 0.790
```

Record 13
First-principles (GGA-PBE) data for Sr2TlRhO6 after structural relaxation, as listed in Alexandria via LeMat-Bulk.

Values from the calculation:
uncorrected formation energy = -1.5386 eV per atom

The structure in CIF format:
```
data_Sr2TlRhO6
_cell_length_a 5.797
_cell_length_b 5.987
_cell_length_c 10.006
_cell_angle_alpha 90.00
_cell_angle_beta 124.95
_cell_angle_gamma 90.00
_space_group_name_H-M_alt 'P 1 21/c 1'
_space_group_IT_number 14
_space_group_name_Hall '-P 2ybc'
loop_
_atom_site_label
_atom_site_fract_x
_atom_site_fract_y
_atom_site_fract_z
Sr1 0.237 0.053 0.250
Tl1 0.500 0.000 0.000
Rh1 0.000 0.000 0.500
O1 0.127 0.224 0.944
O2 0.232 0.685 0.955
O3 0.329 0.037 0.733
```

Record 14
First-principles (GGA-PBE) data for InSiAu after structural relaxation, as listed in Alexandria via LeMat-Bulk.

Values from the calculation:
uncorrected formation energy = 0.0194 eV per atom

The structure in CIF format:
```
data_InSiAu
_cell_length_a 9.633
_cell_length_b 7.889
_cell_length_c 3.480
_cell_angle_alpha 90.00
_cell_angle_beta 111.05
_cell_angle_gamma 90.00
_space_group_name_H-M_alt 'C 1 2 1'
_space_group_IT_number 5
_space_group_name_Hall 'C 2y'
loop_
_atom_site_label
_atom_site_fract_x
_atom_site_fract_y
_atom_site_fract_z
In1 0.000 0.000 0.000
In2 0.000 0.337 0.500
Si1 0.136 0.716 0.636
Au1 0.230 0.504 0.229
```

Record 15
First-principles (GGA-PBE) data for Ba7Sr2 after structural relaxation, as listed in Alexandria via LeMat-Bulk.

Values from the calculation:
energy of formation from the pure elements = 30 meV/atom

The structure in CIF format:
```
data_Ba7Sr2
_cell_length_a 12.2083
_cell_length_b 12.2083
_cell_length_c 4.3093
_cell_angle_alpha 90.00
_cell_angle_beta 90.00
_cell_angle_gamma 120.00
_space_group_name_H-M_alt 'P -6 2 m'
_space_group_IT_number 189
_space_group_name_Hall 'P -6 -2'
loop_
_atom_site_label
_atom_site_fract_x
_atom_site_fract_y
_atom_site_fract_z
Ba1 0.0000 0.0000 0.0000
Ba2 0.0000 0.3136 0.5000
Ba3 0.0000 0.6444 0.0000
Sr1 0.3333 0.6667 0.5000
```

Record 16
First-principles (GGA-PBE) data for Sc2SbAs after structural relaxation, as listed in Alexandria via LeMat-Bulk.

Values from the calculation:
uncorrected formation energy = -0.8448 eV per atom

The structure in CIF format:
```
data_Sc2SbAs
_cell_length_a 4.140
_cell_length_b 5.606
_cell_length_c 7.608
_cell_angle_alpha 90.00
_cell_angle_beta 90.00
_cell_angle_gamma 90.00
_space_group_name_H-M_alt 'I m m m'
_space_group_IT_number 71
_space_group_name_Hall '-I 2 2'
loop_
_atom_site_label
_atom_site_fract_x
_atom_site_fract_y
_atom_site_fract_z
Sc1 0.000 0.000 0.234
Sb1 0.000 0.500 0.000
As1 0.000 0.500 0.500
```

Record 17
First-principles (GGA-PBE) data for In2SiPt after structural relaxation, as listed in Alexandria via LeMat-Bulk.

Values from the calculation:
uncorrected formation energy = 0.0177 eV per atom

The structure in CIF format:
```
data_In2SiPt
_cell_length_a 2.944
_cell_length_b 3.387
_cell_length_c 8.166
_cell_angle_alpha 90.00
_cell_angle_beta 90.00
_cell_angle_gamma 90.00
_space_group_name_H-M_alt 'P m m m'
_space_group_IT_number 47
_space_group_name_Hall '-P 2 2'
loop_
_atom_site_label
_atom_site_fract_x
_atom_site_fract_y
_atom_site_fract_z
In1 0.000 0.000 0.220
Si1 0.000 0.500 0.500
Pt1 0.500 0.500 0.000
```

Record 18
First-principles (GGA-PBE) data for La7Ga2Si2 after structural relaxation, as listed in Alexandria via LeMat-Bulk.

Values from the calculation:
uncorrected formation energy = -0.2542 eV per atom

The structure in CIF format:
```
data_La7Ga2Si2
_cell_length_a 7.903
_cell_length_b 11.283
_cell_length_c 7.516
_cell_angle_alpha 90.00
_cell_angle_beta 90.00
_cell_angle_gamma 90.00
_space_group_name_H-M_alt 'C m m m'
_space_group_IT_number 65
_space_group_name_Hall '-C 2 2'
loop_
_atom_site_label
_atom_site_fract_x
_atom_site_fract_y
_atom_site_fract_z
La1 0.000 0.000 0.000
La2 0.000 0.500 0.262
La3 0.250 0.250 0.300
Ga1 0.000 0.287 0.000
Si1 0.155 0.000 0.500
```

Record 19
First-principles (GGA-PBE) data for KSmBr4 after structural relaxation, as listed in Alexandria via LeMat-Bulk.

Values from the calculation:
uncorrected formation energy = -1.8468 eV per atom

The structure in CIF format:
```
data_KSmBr4
_cell_length_a 8.542
_cell_length_b 18.505
_cell_length_c 7.375
_cell_angle_alpha 90.00
_cell_angle_beta 115.21
_cell_angle_gamma 90.00
_space_group_name_H-M_alt 'C 1 2/c 1'
_space_group_IT_number 15
_space_group_name_Hall '-C 2yc'
loop_
_atom_site_label
_atom_site_fract_x
_atom_site_fract_y
_atom_site_fract_z
K1 0.000 0.182 0.250
Sm1 0.000 0.432 0.250
Br1 0.203 0.452 0.676
Br2 0.238 0.327 0.258
```